Entry 1:
Here is an optimized crystal structure of CdReAg2 from Alexandria via LeMat-Bulk. Energies are from GGA-PBEsol.

Cell and atoms, written as extended XYZ:
```
4
Lattice="2.665 0.000 0.000 0.000 5.184 0.021 0.000 -2.112 4.734" Properties=species:S:1:pos:R:3 pbc="T T T"
Cd 1.332 0.000 0.000
Re 1.332 1.536 2.378
Ag 0.000 2.592 0.011
Ag 0.000 -1.056 2.367
```

Output
crystal system	orthorhombic
raw total energy	-4.80	eV/atom
E_form	0.49	eV per atom
symmetry	No. 65

***

Entry 2:
Here is an optimized crystal structure of CdReAg2 from Alexandria via LeMat-Bulk. Energies are from GGA-PBEsol.

Cell and atoms, written as extended XYZ:
```
4
Lattice="4.564 0.000 0.000 2.282 3.952 0.000 2.282 1.317 3.726" Properties=species:S:1:pos:R:3 pbc="T T T"
Re 2.282 1.317 0.932
Cd 4.564 2.635 1.863
Ag 0.000 0.000 0.000
Ag 6.845 3.952 2.795
```

Output
crystal system	cubic
raw total energy	-4.49	eV/atom
E_form	0.80	eV per atom
symmetry	No. 216

***

Entry 3:
Here is an optimized crystal structure of CdReAg2 from Alexandria via LeMat-Bulk. Energies are from GGA-PBEsol.

Cell and atoms, written as extended XYZ:
```
4
Lattice="-2.386 -1.244 0.649 0.932 -3.498 -3.282 2.295 -2.610 3.434" Properties=species:S:1:pos:R:3 pbc="T T T"
Ag 0.466 -1.749 -1.641
Ag 1.148 -1.305 1.717
Cd 0.421 -3.676 0.400
Re -1.193 -0.622 0.324
```

Output
crystal system	tetragonal
raw total energy	-4.67	eV/atom
E_form	0.62	eV per atom
symmetry	No. 123

***

Entry 4:
Here is an optimized crystal structure of Cd2ReAg from Alexandria via LeMat-Bulk. Energies are from GGA-PBEsol.

Cell and atoms, written as extended XYZ:
```
4
Lattice="-2.728 -0.803 2.996 3.092 -1.017 2.543 0.056 4.750 -1.523" Properties=species:S:1:pos:R:3 pbc="T T T"
Ag 0.000 0.000 0.000
Cd 1.665 1.412 1.895
Cd -1.245 1.519 2.121
Re 0.182 -0.910 2.769
```

Output
crystal system	tetragonal
raw total energy	-4.05	eV/atom
E_form	0.71	eV per atom
symmetry	No. 139
excess energy over the best structure of this formula in the dataset	124.5	meV per atom

***

Entry 5:
Here is an optimized crystal structure of Cd2AgRu from Alexandria via LeMat-Bulk. Energies are from GGA-PBEsol.

Cell and atoms, written as extended XYZ:
```
4
Lattice="-2.873 0.075 0.282 0.375 -2.180 4.389 1.592 5.188 0.064" Properties=species:S:1:pos:R:3 pbc="T T T"
Cd -1.231 2.001 1.714
Cd -0.936 3.212 4.393
Ag 0.384 0.747 3.710
Ru -1.278 -0.846 1.989
```

Output
crystal system	monoclinic
raw total energy	-3.72	eV/atom
E_form	0.25	eV per atom
symmetry	No. 8

***

Entry 6:
Here is an optimized crystal structure of CdAg2Ru from Alexandria via LeMat-Bulk. Energies are from GGA-PBEsol.

Cell and atoms, written as extended XYZ:
```
4
Lattice="2.827 0.000 0.000 0.000 4.820 0.000 -1.414 -2.410 4.794" Properties=species:S:1:pos:R:3 pbc="T T T"
Ag 1.414 0.000 2.382
Ag 1.414 2.410 4.785
Ru 0.000 2.410 2.410
Cd 1.414 2.410 0.011
```

Output
crystal system	orthorhombic
raw total energy	-4.10	eV/atom
E_form	0.39	eV per atom
symmetry	No. 44

***

Entry 7:
Here is an optimized crystal structure of CdSiAg2Ru from Alexandria via LeMat-Bulk. Energies are from GGA-PBEsol.

Cell and atoms, written as extended XYZ:
```
5
Lattice="-4.659 -1.045 -1.068 1.257 -0.848 -4.652 0.821 -4.777 1.093" Properties=species:S:1:pos:R:3 pbc="T T T"
Ag -2.329 -0.523 -0.534
Ag 0.629 -0.424 -2.326
Si -1.290 -3.335 -2.314
Cd 0.411 -2.389 0.547
Ru 0.000 0.000 0.000
```

Output
crystal system	tetragonal
raw total energy	-3.25	eV/atom
raw formation energy	1.495	eV per atom
symmetry	No. 123

***

Entry 8:
Here is an optimized crystal structure of CdAg2SnS4 from Alexandria via LeMat-Bulk. Energies are from GGA-PBEsol.

Cell and atoms, written as extended XYZ:
```
8
Lattice="-0.111 3.567 1.842 -0.174 -3.073 5.940 7.083 0.116 0.203" Properties=species:S:1:pos:R:3 pbc="T T T"
S 1.015 -1.528 3.020
S 5.898 0.078 0.205
S 4.555 0.348 3.979
S 2.225 -1.224 6.882
Cd 1.069 -2.711 5.315
Ag 4.537 -0.794 6.188
Ag 2.119 0.726 3.099
Sn 5.912 -1.020 2.331
```

Output
crystal system	monoclinic
raw total energy	-3.98	eV/atom
raw formation energy	-0.279	eV per atom
symmetry	No. 6